(1)
Entry from Alexandria via LeMat-Bulk: a relaxed structure of Y2MnCrPt (PBE-GGA).

Unit cell a=5.364 b=5.364 c=4.954 alpha=90.00 beta=90.00 gamma=90.00
Positions (direct):
Y: 0.000 0.500 0.000
Y: 0.500 0.000 0.000
Mn: 0.000 0.000 0.500
Cr: 0.500 0.500 0.500
Pt: 0.500 0.500 0.000

Calculated values
Calculated density: 5.59 g/cm3
Space-group type: P4/mmm
ΔE_f: 0.3352 eV per atom



(2)
Entry from Alexandria via LeMat-Bulk: a relaxed structure of LaThCoHg (PBE-GGA).

Unit cell a=8.290 b=8.290 c=8.290 alpha=27.99 beta=27.99 gamma=27.99
Positions (direct):
La: 0.000 0.000 0.000
Th: 0.794 0.794 0.794
Co: 0.403 0.403 0.403
Hg: 0.228 0.228 0.228

Calculated values
Calculated density: 9.45 g/cm3
Space-group type: R3m
ΔE_f: -0.2688 eV per atom



(3)
Entry from Alexandria via LeMat-Bulk: a relaxed structure of AcSmPd2 (PBE-GGA).

Unit cell a=7.725 b=7.725 c=7.725 alpha=31.66 beta=31.66 gamma=31.66
Positions (direct):
Ac: 0.000 0.000 0.000
Sm: 0.173 0.173 0.173
Pd: 0.581 0.581 0.581
Pd: 0.758 0.758 0.758

Calculated values
Calculated density: 8.69 g/cm3
Space-group type: R3m
ΔE_f: -0.6591 eV per atom
Energy above the lowest structure with this stoichiometry: 150 meV/atom